Version 1
Crystalline Zn2NiW at its relaxed geometry. Source: Alexandria via LeMat-Bulk, functional GGA-PBEsol.

abc: 3.7949 3.7949 7.2819
angles: 90.00 90.00 90.00
Last column: nearest neighbours and their distance in Å.
Space group I-4m2 (No. 119)
One atom of each set of equivalent atoms:
Zn: 0.0000 0.0000 0.0000 (multiplicity 2)  4 W 2.63, 4 Zn 2.63, 4 Ni 2.68
Zn: 0.0000 0.5000 0.2500 (multiplicity 2)  4 Ni 2.63, 4 Zn 2.63, 4 W 2.68
Ni: 0.0000 0.0000 0.5000 (multiplicity 2)  4 W 2.63, 8 Zn 2.63-2.68
W: 0.0000 0.5000 0.7500 (multiplicity 2)  4 Ni 2.63, 8 Zn 2.63-2.68

Version 2
Crystalline Zn2NiW at its relaxed geometry. Source: Alexandria via LeMat-Bulk, functional GGA-PBEsol.

abc: 8.5714 2.6255 4.7910
angles: 90.00 99.01 90.00
Last column: nearest neighbours and their distance in Å.
Space group Cm (No. 8)
One atom of each set of equivalent atoms:
Zn: 0.0000 0.0000 0.0000 (multiplicity 2)  5 Zn 2.51-2.63, 3 Ni 2.64-2.77, 4 W 2.69-2.77
Zn: 0.2481 0.0000 0.7829 (multiplicity 2)  5 Zn 2.51-2.63, 3 W 2.69-2.76, 4 Ni 2.72-2.74
Ni: 0.2418 0.5000 0.2834 (multiplicity 2)  3 W 2.50-2.57, 2 Ni 2.63, 7 Zn 2.64-2.77
W: 0.4910 0.0000 0.4884 (multiplicity 2)  3 Ni 2.50-2.57, 2 W 2.63, 7 Zn 2.69-2.77

The structure with the least stability is version 1.

Version 1
Crystalline ZrNiW at its relaxed geometry. Source: Alexandria via LeMat-Bulk, functional GGA-PBEsol.

abc: 6.0926 6.0926 6.0926
angles: 90.00 90.00 90.00
Last column: nearest neighbours and their distance in Å.
Space group F-43m (No. 216)
One atom of each set of equivalent atoms:
Zr: 0.0000 0.0000 0.0000 (multiplicity 4)  4 Ni 2.64, 4 W 2.64
Ni: 0.2500 0.2500 0.7500 (multiplicity 4)  4 Zr 2.64
W: 0.2500 0.2500 0.2500 (multiplicity 4)  4 Zr 2.64

Version 2
Crystalline ZrNiW at its relaxed geometry. Source: Alexandria via LeMat-Bulk, functional GGA-PBEsol.

abc: 4.4837 4.4837 2.7380
angles: 90.00 90.00 120.00
Last column: nearest neighbours and their distance in Å.
Space group P3m1 (No. 156)
One atom of each set of equivalent atoms:
Zr: 0.0000 0.0000 0.0000 (multiplicity 1)  2 Zr 2.74, 6 Ni 2.93, 6 W 2.93
Ni: 0.3333 0.6667 0.5024 (multiplicity 1)  3 W 2.59, 2 Ni 2.74
W: 0.6667 0.3333 0.4987 (multiplicity 1)  3 Ni 2.59, 2 W 2.74

The structure with the least stability is version 1.